PmTh4Fe4 | GGA-PBE | relaxed

**Mass density**: 10619 kg/m3
**Calculated total energy**: -136.0 eV/cell
**SG**: No. 86

Unit cell a=8.563 b=8.563 c=5.530 alpha=90.00 beta=90.00 gamma=90.00
Fractional positions:
Pm1 0.250 0.250 0.250
Pm2 0.750 0.750 0.750
Th1 0.055 0.664 0.188
Th2 0.164 0.945 0.688
Th3 0.336 0.555 0.688
Th4 0.445 0.836 0.188
Th5 0.555 0.164 0.812
Th6 0.664 0.445 0.312
Th7 0.836 0.055 0.312
Th8 0.945 0.336 0.812
Fe1 0.041 0.610 0.665
Fe2 0.110 0.959 0.165
Fe3 0.390 0.541 0.165
Fe4 0.459 0.890 0.665
Fe5 0.541 0.110 0.335
Fe6 0.610 0.459 0.835
Fe7 0.890 0.041 0.835
Fe8 0.959 0.390 0.335

=====

Sc2Cu2Te | GGA-PBE | relaxed

**Uncorrected formation energy**: -430 meV per atom
**Mass density**: 6080 kg/m3
**Calculated total energy**: -52.3 eV/cell
**SG**: No. 127

Unit cell a=6.930 b=6.930 c=3.920 alpha=90.00 beta=90.00 gamma=90.00
Fractional positions:
Sc1 0.164 0.336 0.000
Sc2 0.336 0.836 0.000
Sc3 0.664 0.164 0.000
Sc4 0.836 0.664 0.000
Cu1 0.123 0.623 0.500
Cu2 0.377 0.123 0.500
Cu3 0.623 0.877 0.500
Cu4 0.877 0.377 0.500
Te1 0.000 0.000 0.500
Te2 0.500 0.500 0.500

=====

LaAlTl3 | GGA-PBE | relaxed

**Mass density**: 8577 kg/m3
**Calculated total energy**: -15.3 eV/cell
**SG**: No. 221

Unit cell a=5.323 b=5.323 c=5.323 alpha=90.00 beta=90.00 gamma=90.00
Fractional positions:
La1 0.000 0.000 0.000
Al1 0.500 0.500 0.500
Tl1 0.000 0.500 0.500
Tl2 0.500 0.000 0.500
Tl3 0.500 0.500 0.000

=====

- The lowest mass density belongs to which entry?
  Sc2Cu2Te